SrLiH2: relaxed, PBE.

a = 3.2502 Å, b = 3.2502 Å, c = 6.8694 Å
α = 90.00°, β = 90.00°, γ = 90.00°
Closest atoms and distances in Å follow each position.
Fractional positions:
Sr  0.0000  0.0000  0.0000  8 H 2.57
Li  0.0000  0.0000  0.5000  8 H 3.24, 4 Li 3.25, 2 Sr 3.43
H  0.5000  0.5000  0.1668  1 H 2.29
H  0.5000  0.5000  0.8332  1 H 2.29

Summary:
Size of the total moment in μB/f.u.: 0.00
ΔE to the lowest computed polymorph in kJ/mol of formula units: 156.7